! Ba3SmIr2O9 PBE relaxed; values from VASP
! Total DFT energy (no corrections) in eV for the cell shown: -207.98
! Excess energy over the best structure of this formula in the dataset in eV/atom: 0.0000
! Formation energy from raw total energies in kJ/mol of formula units: -3006
&SYSTEM
  ibrav = 0, nat = 30, ntyp = 4
/
ATOMIC_SPECIES
Ba 137.33 Ba.upf
Sm 150.36 Sm.upf
Ir 192.22 Ir.upf
O 16.00 O.upf
ATOMIC_POSITIONS crystal
Ba 0.000 0.000 0.250
Ba 0.000 0.000 0.750
Ba 0.333 0.667 0.595
Ba 0.667 0.333 0.405
Ba 0.667 0.333 0.095
Ba 0.333 0.667 0.905
Sm 0.000 0.000 0.500
Sm 0.000 0.000 0.000
Ir 0.333 0.667 0.335
Ir 0.667 0.333 0.665
Ir 0.667 0.333 0.835
Ir 0.333 0.667 0.165
O 0.491 0.509 0.250
O 0.491 0.982 0.250
O 0.018 0.509 0.250
O 0.509 0.491 0.750
O 0.509 0.018 0.750
O 0.982 0.491 0.750
O 0.178 0.822 0.089
O 0.178 0.356 0.089
O 0.644 0.822 0.089
O 0.822 0.178 0.911
O 0.822 0.644 0.911
O 0.356 0.178 0.911
O 0.822 0.178 0.589
O 0.822 0.644 0.589
O 0.356 0.178 0.589
O 0.178 0.822 0.411
O 0.178 0.356 0.411
O 0.644 0.822 0.411
CELL_PARAMETERS angstrom
-4.610 3.778 -0.593
-0.198 -4.343 4.121
6.224 9.156 9.949